! PBE-GGA ZrTeClO4, optimized geometry; values from VASP
! Space group: C2/m
! Formation energy from raw total energies, eV/atom: -1.668
! Total magnetization, μB per formula unit: 0.00
&SYSTEM
  ibrav = 0, nat = 14, ntyp = 4
/
ATOMIC_SPECIES
Zr 91.22 Zr.upf
Te 127.60 Te.upf
Cl 35.45 Cl.upf
O 16.00 O.upf
ATOMIC_POSITIONS angstrom
Zr 2.1136 0.0000 0.7521
Zr 6.7584 0.0000 5.6511
Te 2.9095 0.0000 4.3749
Te 5.9625 0.0000 2.0283
Cl -0.7050 0.0000 4.9758
Cl 9.5771 0.0000 1.4273
O 2.0501 1.2797 5.5478
O 1.7100 0.0000 2.8198
O 4.0417 0.0000 1.5949
O 2.0501 -1.2797 5.5478
O 6.8219 1.2797 0.8554
O 4.8304 0.0000 4.8083
O 7.1621 0.0000 3.5834
O 6.8219 -1.2797 0.8554
CELL_PARAMETERS angstrom
5.0611 -3.4196 0.0000
5.0611 3.4196 0.0000
-1.2503 0.0000 6.4032